Entry 1:
Compound: ZrFeAs2Se
Source: the Alexandria database
Functional: PBE
Structure: relaxed

```
ZrFeAs2Se
1.0
4.4522 0.0000 0.0000
0.0000 4.4522 0.0000
0.0000 0.0000 5.0165
Zr Fe As Se
1 1 2 1
Direct
0.5000 0.5000 0.5000
0.0000 0.0000 0.0000
0.5000 0.0000 0.0000
0.0000 0.5000 0.0000
0.0000 0.0000 0.5000
```

Results
As for the space group: No. 123. The value obtained for the electronic total energy is -29.0 eV for the cell shown.

Entry 2:
Compound: ZrFeAs2Se
Source: the Alexandria database
Functional: PBE
Structure: relaxed

```
ZrFeAs2Se
1.0
-4.8866 -0.5411 1.6649
0.4265 -5.1558 -0.4237
1.6778 -0.2590 4.8404
Se Zr As Fe
1 1 2 1
Direct
0.0000 0.0000 0.5000
0.0000 0.0000 0.0000
0.0000 0.5000 0.0000
0.5000 0.0000 0.0000
0.5000 0.5000 0.5000
```

Results
As for the space group: No. 123. The value obtained for the electronic total energy is -26.9 eV for the cell shown.

Entry 3:
Compound: FeSi2As
Source: the Alexandria database
Functional: PBE
Structure: relaxed

```
FeSi2As
1.0
2.7650 0.0000 0.0000
0.0000 2.7653 0.0000
0.0000 0.0000 7.1939
As Fe Si
1 1 2
Direct
0.5000 0.5000 0.2500
0.5000 0.5000 0.7500
0.0000 0.0000 0.5555
0.0000 0.0000 0.9445
```

Results
As for the space group: No. 123. The value obtained for the electronic total energy is -23.6 eV for the cell shown.

Entry 4:
Compound: FeSi4As
Source: the Alexandria database
Functional: PBE
Structure: relaxed

```
FeSi4As
1.0
0.0000 3.5689 3.5689
3.5689 0.0000 3.5689
3.5689 3.5689 0.0000
As Fe Si
1 1 4
Direct
0.7500 0.7500 0.7500
0.0000 0.0000 0.0000
0.3748 0.3748 0.8757
0.8757 0.3748 0.3748
0.3748 0.8757 0.3748
0.3748 0.3748 0.3748
```

Results
As for the space group: No. 216. The value obtained for the electronic total energy is -31.1 eV for the cell shown.